Record 1
NaInGe2O6 | Alexandria via LeMat-Bulk | meta-GGA SCAN | single point on PBEsol structure; DFT total energy = -13.207 eV/atom; space-group type = No. 15; E_form (uncorrected) = -1.890 eV per atom; mass density = 5.0 g/cm3; total moment = 0.000 μB/atom
1.0
5.5983 -0.0299 -0.0280
1.5199 6.7051 0.0214
1.5199 0.4495 6.6900
Ge O Na In
4 12 2 2
Direct
0.2560 0.3814 0.1989
0.7560 0.1989 0.3814
0.2440 0.8011 0.6186
0.7440 0.6186 0.8011
0.3565 0.1949 0.0275
0.8565 0.0275 0.1949
0.4903 0.3835 0.3368
0.1622 0.6185 0.0940
0.8378 0.3815 0.9060
0.0097 0.6632 0.6165
0.5097 0.6165 0.6632
0.6622 0.0940 0.6185
0.9903 0.3368 0.3835
0.6435 0.8051 0.9725
0.1435 0.9725 0.8051
0.3378 0.9060 0.3815
0.7500 0.6939 0.3061
0.2500 0.3061 0.6939
0.2500 0.8986 0.1014
0.7500 0.1014 0.8986

***

Record 2
Ba2PAu | Alexandria via LeMat-Bulk | meta-GGA SCAN | single point on PBEsol structure; DFT total energy = -40.710 eV/atom; space-group type = No. 166; E_form = -1.05 eV per atom; mass density = 5.9 g/cm3; total moment = 0.005 μB/atom
1.0
-2.0225 -0.8814 4.0887
-1.1128 -4.3620 1.1488
5.7343 -2.6450 4.9058
Ba P Au
2 1 1
Direct
0.2411 0.2411 0.2768
0.7589 0.7589 0.7232
0.5000 0.5000 0.5000
0.0000 0.0000 0.0000

***

Record 3
YBe2Si | Alexandria via LeMat-Bulk | meta-GGA SCAN | single point on PBEsol structure; DFT total energy = -11.511 eV/atom; space-group type = No. 123; E_form (uncorrected) = 0.130 eV per atom; mass density = 3.8 g/cm3; total moment = 0.000 μB/atom
1.0
3.0993 0.0000 0.0000
0.0000 3.0993 0.0000
0.0000 0.0000 6.1429
Be Si Y
2 1 1
Direct
0.0000 0.0000 0.8224
0.0000 0.0000 0.1776
0.5000 0.5000 0.0000
0.5000 0.5000 0.5000

***

Record 4
KSb2Rh | Alexandria via LeMat-Bulk | meta-GGA SCAN | single point on PBEsol structure; DFT total energy = -29.273 eV/atom; space-group type = No. 99; distance to the lowest polymorph of the same formula = 374 meV per atom; E_form (uncorrected) = -0.118 eV per atom; mass density = 6.2 g/cm3; total moment = 0.000 μB/atom
1.0
-1.8112 3.0217 0.8733
-2.9280 -1.2517 -1.7419
-2.4919 -3.4129 6.6411
Sb Rh K
2 1 1
Direct
0.0000 0.0000 0.9419
0.5000 0.5000 0.1946
0.5000 0.5000 0.8572
0.0000 0.0000 0.5064

***

Record 5
YAlHg2 | Alexandria via LeMat-Bulk | meta-GGA SCAN | single point on PBEsol structure; DFT total energy = -43.443 eV/atom; space-group type = No. 139; E_form = -0.46 eV per atom; mass density = 10.0 g/cm3; total moment = 0.000 μB/atom
1.0
4.6136 0.0000 0.0000
-2.3068 4.6349 -0.0491
0.0000 -2.2535 4.0258
Al Hg Y
1 2 1
Direct
0.0000 0.0000 0.0000
0.2500 0.5000 0.7500
0.7500 0.5000 0.2500
0.5000 0.0000 0.5000

***

Record 6
CrAs2P | Alexandria via LeMat-Bulk | meta-GGA SCAN | single point on PBEsol structure; DFT total energy = -17.002 eV/atom; space-group type = No. 47; E_form = 0.29 eV per atom; mass density = 6.1 g/cm3; total moment = 0.907 μB/atom
1.0
-1.4731 2.3145 -1.5653
-0.0908 -2.5531 -3.6897
-3.9840 -1.6822 1.2621
Cr As P
1 2 1
Direct
0.5000 0.5000 0.0000
0.0000 0.0000 0.0000
0.5000 0.0000 0.5000
0.0000 0.5000 0.5000

***

Record 7
Mn2MoI | Alexandria via LeMat-Bulk | meta-GGA SCAN | single point on PBEsol structure; DFT total energy = -25.984 eV/atom; space-group type = No. 225; E_form (uncorrected) = 1.051 eV per atom; mass density = 9.7 g/cm3; total moment = 0.961 μB/atom
1.0
4.3188 0.0000 0.0000
2.1594 3.7402 0.0000
2.1594 1.2467 3.5263
Mn Mo I
2 1 1
Direct
0.2500 0.2500 0.2500
0.7500 0.7500 0.7500
0.0000 0.0000 0.0000
0.5000 0.5000 0.5000

***

Record 8
Li8FeO4F2 | Alexandria via LeMat-Bulk | meta-GGA SCAN | single point on PBEsol structure; DFT total energy = -6.789 eV/atom; space-group type = No. 2; E_form (uncorrected) = -2.172 eV per atom; mass density = 2.5 g/cm3; total moment = 0.001 μB/atom
1.0
0.0313 -2.3996 -4.7673
-0.1665 -5.4928 0.0933
-10.6585 -1.9101 0.1829
Li Fe O F
16 2 8 4
Direct
0.5639 0.6637 0.0320
0.3658 0.8060 0.6827
0.0884 0.4236 0.6617
0.2602 0.8645 0.3100
0.5787 0.9592 0.1762
0.7201 0.4414 0.8171
0.7204 0.8441 0.5454
0.6342 0.1940 0.3173
0.2799 0.5586 0.1829
0.4361 0.3363 0.9680
0.9116 0.5764 0.3383
0.0448 0.7273 0.8350
0.2796 0.1559 0.4546
0.9552 0.2727 0.1650
0.7398 0.1355 0.6900
0.4213 0.0408 0.8238
0.0000 0.0000 0.0000
0.5000 0.5000 0.5000
0.3910 0.7093 0.8734
0.4191 0.1458 0.6186
0.2585 0.9349 0.1237
0.5809 0.8542 0.3814
0.6090 0.2907 0.1266
0.7415 0.0651 0.8763
0.2956 0.4988 0.3665
0.7044 0.5012 0.6335
0.8970 0.6394 0.1460
0.1030 0.3606 0.8540
0.0208 0.8050 0.6542
0.9792 0.1950 0.3458

***

Record 9
LaSc2Cd | Alexandria via LeMat-Bulk | meta-GGA SCAN | single point on PBEsol structure; DFT total energy = -25.613 eV/atom; space-group type = No. 8; E_form = -0.11 eV per atom; mass density = 5.7 g/cm3; total moment = 0.004 μB/atom
1.0
-2.7016 1.3100 1.9976
2.6750 -1.0216 4.2877
2.2543 4.7055 -3.2923
La Sc Cd
1 2 1
Direct
0.7592 0.2587 0.5185
0.2336 0.7335 0.4673
0.9936 0.9936 0.9872
0.5135 0.5142 0.0271

***

Record 10
Fe2Ru | Alexandria via LeMat-Bulk | meta-GGA SCAN | single point on PBEsol structure; DFT total energy = -23.338 eV/atom; space-group type = No. 63; E_form = 0.36 eV per atom; mass density = 10.7 g/cm3; total moment = 0.001 μB/atom
1.0
2.5489 0.0000 0.0000
0.0000 3.9776 0.0000
-1.2744 0.0000 6.5296
Fe Ru
4 2
Direct
0.4439 0.7500 0.8878
0.7778 0.7500 0.5556
0.2222 0.2500 0.4444
0.5561 0.2500 0.1122
0.1115 0.7500 0.2231
0.8885 0.2500 0.7769

***

Record 11
Sm3TiSb5 | Alexandria via LeMat-Bulk | meta-GGA SCAN | single point on PBEsol structure; DFT total energy = -38.282 eV/atom; space-group type = No. 193; E_form (uncorrected) = -0.986 eV per atom; mass density = 8.1 g/cm3; total moment = 0.000 μB/atom
1.0
6.1266 0.0000 0.0000
0.0000 9.2246 0.0000
0.0000 -4.6123 7.9888
Sb Sm Ti
10 6 2
Direct
0.5000 0.6667 0.3333
0.0000 0.6667 0.3333
0.2500 0.2574 0.0000
0.7500 0.7426 0.0000
0.7500 0.0000 0.7426
0.2500 0.0000 0.2574
0.7500 0.2574 0.2574
0.2500 0.7426 0.7426
0.5000 0.3333 0.6667
0.0000 0.3333 0.6667
0.2500 0.0000 0.6176
0.2500 0.6176 0.0000
0.7500 0.0000 0.3824
0.2500 0.3824 0.3824
0.7500 0.3824 0.0000
0.7500 0.6176 0.6176
0.5000 0.0000 0.0000
0.0000 0.0000 0.0000

***

Record 12
KAsAuSe2 | Alexandria via LeMat-Bulk | meta-GGA SCAN | single point on PBEsol structure; DFT total energy = -27.588 eV/atom; space-group type = No. 123; E_form (uncorrected) = -0.022 eV per atom; mass density = 5.8 g/cm3; total moment = 0.093 μB/atom
1.0
-0.4705 3.4024 3.3928
2.2345 -3.2212 3.5402
4.7586 1.9153 -1.2608
Se Au K As
2 1 1 1
Direct
0.0000 0.5000 0.0000
0.0000 0.0000 0.5000
0.0000 0.0000 0.0000
0.5000 0.5000 0.5000
0.5000 0.0000 0.0000

***

Record 13
ScMoW2 | Alexandria via LeMat-Bulk | meta-GGA SCAN | single point on PBEsol structure; DFT total energy = -46.653 eV/atom; space-group type = No. 160; distance to the lowest polymorph of the same formula = 315 meV per atom; E_form = 0.47 eV per atom; mass density = 12.4 g/cm3; total moment = 0.000 μB/atom
1.0
2.9812 0.0000 0.0000
1.4906 2.5818 0.0000
1.4906 0.8606 8.8238
Mo W Sc
1 2 1
Direct
0.4934 0.4934 0.5197
0.7511 0.7511 0.7468
0.0060 0.0060 0.9820
0.2495 0.2495 0.2515

***

Record 14
Cu6OF11 | Alexandria via LeMat-Bulk | meta-GGA SCAN | single point on PBEsol structure; DFT total energy = -9.220 eV/atom; space-group type = No. 1; E_form (uncorrected) = -1.644 eV per atom; mass density = 5.1 g/cm3; total moment = 0.280 μB/atom
1.0
-0.5689 -0.6210 2.9418
4.7205 -4.6740 -0.2702
4.2331 8.8563 2.7755
F Cu O
11 6 1
Direct
0.4987 0.9319 0.8645
0.5015 0.7268 0.4531
0.4999 0.0657 0.1309
0.9993 0.6356 0.6638
0.0469 0.2944 0.0017
0.4984 0.4058 0.8107
0.9512 0.7076 0.0022
0.4999 0.2714 0.5433
0.9996 0.0284 0.6642
0.0052 0.3578 0.3360
0.9984 0.9780 0.3356
0.0014 0.6566 0.3135
0.9991 0.3375 0.6749
0.9992 0.9991 0.9982
0.4994 0.8295 0.6590
0.5021 0.1683 0.3367
0.4989 0.5060 0.0119
0.5009 0.5993 0.1995

***

Record 15
LaMnW2 | Alexandria via LeMat-Bulk | meta-GGA SCAN | single point on PBEsol structure; DFT total energy = -49.305 eV/atom; space-group type = No. 44; distance to the lowest polymorph of the same formula = 335 meV per atom; E_form = 0.88 eV per atom; mass density = 13.2 g/cm3; total moment = 0.495 μB/atom
1.0
3.1301 0.0000 0.0000
0.0000 5.1210 0.0000
-1.5651 -2.5605 4.4000
W Mn La
2 1 1
Direct
0.2661 0.7661 0.5322
0.0079 0.0079 0.0158
0.7351 0.2351 0.4701
0.4910 0.4910 0.9819

***

Record 16
Zn2MoAs | Alexandria via LeMat-Bulk | meta-GGA SCAN | single point on PBEsol structure; DFT total energy = -20.304 eV/atom; space-group type = No. 35; E_form = 0.22 eV per atom; mass density = 7.9 g/cm3; total moment = 0.000 μB/atom
1.0
-2.3968 1.3517 0.3937
-0.7301 -2.4677 -1.0508
-0.5124 -3.2039 7.8800
As Zn Mo
1 2 1
Direct
0.0000 0.0000 0.4733
0.5000 0.5000 0.7731
0.0000 0.0000 0.0058
0.5000 0.5000 0.2478

***

Record 17
K2TaSb | Alexandria via LeMat-Bulk | meta-GGA SCAN | single point on PBEsol structure; DFT total energy = -29.507 eV/atom; space-group type = No. 160; E_form (uncorrected) = 0.619 eV per atom; mass density = 5.3 g/cm3; total moment = 0.000 μB/atom
1.0
-2.0134 -2.5271 -0.9693
-0.4241 -2.6816 2.0022
-10.2215 3.7210 5.6602
Ta Sb K
1 1 2
Direct
0.2358 0.2358 0.2926
0.5120 0.5120 0.4639
0.9865 0.9865 0.0406
0.7657 0.7657 0.7029

***

Record 18
ZnCdCo | Alexandria via LeMat-Bulk | meta-GGA SCAN | single point on PBEsol structure; DFT total energy = -19.849 eV/atom; space-group type = No. 216; distance to the lowest polymorph of the same formula = 345 meV per atom; E_form = 0.56 eV per atom; mass density = 8.0 g/cm3; total moment = 0.001 μB/atom
1.0
4.1132 0.0000 0.0000
2.0566 3.5621 0.0000
2.0566 1.1874 3.3584
Zn Cd Co
1 1 1
Direct
0.0000 0.0000 0.0000
0.5000 0.5000 0.5000
0.2500 0.2500 0.2500

***

Record 19
Li5Te | Alexandria via LeMat-Bulk | meta-GGA SCAN | single point on PBEsol structure; DFT total energy = -8.652 eV/atom; space-group type = No. 12; E_form (uncorrected) = -0.452 eV per atom; mass density = 2.4 g/cm3; total moment = 0.001 μB/atom
1.0
-2.2193 -2.2122 -2.8143
4.7976 0.0432 -0.6657
-0.5730 -4.6172 4.0813
Te Li
1 5
Direct
0.5000 0.0000 0.5000
0.1470 0.2940 0.8277
0.5000 0.0000 0.0000
0.8530 0.7060 0.1723
0.1740 0.3479 0.3235
0.8260 0.6521 0.6765

***

Record 20
Cd2AgP | Alexandria via LeMat-Bulk | meta-GGA SCAN | single point on PBEsol structure; DFT total energy = -25.424 eV/atom; space-group type = No. 65; E_form = 0.22 eV per atom; mass density = 8.3 g/cm3; total moment = 0.000 μB/atom
1.0
-2.5227 -0.5874 1.6637
-0.0788 -4.6811 -1.7721
2.7292 0.1561 4.1935
Ag Cd P
1 2 1
Direct
0.5000 0.5000 0.5000
0.0000 0.0000 0.5000
0.0000 0.5000 0.0000
0.5000 0.0000 0.0000